(1)
TcC2 after structural relaxation. Source: Alexandria via LeMat-Bulk, functional PBE.

Results
As for the crystal system: tetragonal. As for the total magnetization: 0.00 μB per atom.

abc: 2.9626 2.9626 3.9938
angles: 90.00 90.00 90.00
Closest atoms and distances in Å follow each position.
Positions (direct):
1 C 0.0000 0.0000 0.5000  2 Tc 2.00
2 C 0.5000 0.5000 0.0000  4 Tc 2.09
3 Tc 0.0000 0.0000 0.0000  6 C 2.00-2.09

***

(2)
TcC after structural relaxation. Source: Alexandria via LeMat-Bulk, functional PBE.

Results
As for the crystal system: monoclinic. As for the total magnetization: 0.00 μB per atom.

abc: 3.8385 3.8385 6.3893
angles: 72.40 72.40 43.66
Closest atoms and distances in Å follow each position.
Positions (direct):
1 Tc 0.3747 0.3747 0.2621  5 C 2.06-2.17
2 Tc 0.0164 0.0164 0.6097  6 C 2.10-2.34
3 Tc 0.2019 0.2019 0.9341  5 C 2.05-2.14
4 C 0.9012 0.9012 0.9978  5 Tc 2.05-2.17
5 C 0.7068 0.7068 0.6885  5 Tc 2.10-2.14
6 C 0.6323 0.6323 0.3411  5 Tc 2.06-2.18

***

(3)
Tc5C4 after structural relaxation. Source: Alexandria via LeMat-Bulk, functional PBE.

Results
As for the crystal system: tetragonal. As for the total magnetization: 0.00 μB per atom.

abc: 6.2505 6.2505 6.2505
angles: 94.24 94.24 148.43
Closest atoms and distances in Å follow each position.
Positions (direct):
1 Tc 0.0000 0.0000 0.0000  4 C 2.04
2 Tc 0.3425 0.6575 0.0000  4 C 2.28, 2 Tc 2.55
3 Tc 0.6575 0.3425 0.0000  4 C 2.28, 2 Tc 2.55
4 Tc 0.6575 0.6575 0.3151  4 C 2.28, 2 Tc 2.55
5 Tc 0.3425 0.3425 0.6849  4 C 2.28, 2 Tc 2.55
6 C 0.2398 0.0000 0.2398  5 Tc 2.04-2.28
7 C 0.7602 0.0000 0.7602  5 Tc 2.04-2.28
8 C 0.0000 0.7602 0.7602  5 Tc 2.04-2.28
9 C 0.0000 0.2398 0.2398  5 Tc 2.04-2.28

***

(4)
TcC8 after structural relaxation. Source: Alexandria via LeMat-Bulk, functional PBE.

Results
As for the crystal system: tetragonal. As for the total magnetization: 0.00 μB per atom.

abc: 7.1752 7.1752 7.1752
angles: 91.76 91.76 159.82
Closest atoms and distances in Å follow each position.
Positions (direct):
1 Tc 0.0000 0.0000 0.0000  12 C 2.07-2.18
2 C 0.6261 0.3739 0.0000  4 C 1.96, 2 Tc 2.18
3 C 0.3739 0.6261 0.0000  4 C 1.96, 2 Tc 2.18
4 C 0.0000 0.7926 0.7926  4 C 1.96, 1 Tc 2.07
5 C 0.3739 0.3739 0.7478  4 C 1.96, 2 Tc 2.18
6 C 0.7926 0.0000 0.7926  4 C 1.96, 1 Tc 2.07
7 C 0.6261 0.6261 0.2522  4 C 1.96, 2 Tc 2.18
8 C 0.0000 0.2074 0.2074  4 C 1.96, 1 Tc 2.07
9 C 0.2074 0.0000 0.2074  4 C 1.96, 1 Tc 2.07

***

It is found that the DOS at the Fermi energy values, taken in the order of the records, are 0.449, 0.441, 0.612, 0.750 states/eV per atom.
It is found that the calculated density values, taken in the order of the records, are 5.78, 8.92, 7.26, 2.57 Mg/m³.
It is found that the uncorrected energy values, taken in the order of the records, are -7.976, -9.375, -8.661, -6.057 eV/atom.